(1)
A geometry-optimized Ag2PtAu structure, computed with PBE.

Structure (extended XYZ):
```
4
Lattice="-2.035 2.035 4.154 2.035 -2.035 4.154 2.035 2.035 -4.154" Properties=species:S:1:pos:R:3 pbc="T T T"
Ag 2.035 0.000 2.077
Ag 0.000 2.035 2.077
Pt 0.000 0.000 0.000
Au 0.000 0.000 4.154
```

- ρ: 14.663 g cm⁻³
- Offset from the most stable computed form: 25 meV/atom
- DOS at the Fermi energy: 1.7 states/eV/cell
- Energy of formation from the pure elements: 6 meV/atom
- Total magnetization: 0.0 μB/f.u.

(2)
A geometry-optimized KBa2I2 structure, computed with PBE.

Structure (extended XYZ):
```
10
Lattice="9.844 0.000 0.000 0.000 9.844 0.000 0.000 0.000 4.602" Properties=species:S:1:pos:R:3 pbc="T T T"
K 0.000 0.000 0.000
K 4.922 4.922 0.000
Ba 1.581 3.341 2.301
Ba 3.341 8.264 2.301
Ba 6.503 1.581 2.301
Ba 8.264 6.503 2.301
I 1.347 6.269 0.000
I 3.575 1.347 0.000
I 6.269 8.497 0.000
I 8.497 3.575 0.000
```

- ρ: 4.227 g cm⁻³
- Offset from the most stable computed form: 26 meV/atom
- DOS at the Fermi energy: 5.5 states/eV/cell
- Total magnetization: 0.0 μB/f.u.
- Raw formation energy: -929 meV per atom

(3)
A geometry-optimized Li4Te2H structure, computed with PBE.

Structure (extended XYZ):
```
7
Lattice="-2.076 2.076 7.057 2.076 -2.076 7.057 2.076 2.076 -7.057" Properties=species:S:1:pos:R:3 pbc="T T T"
Li 2.076 0.000 0.000
Li 0.000 0.000 2.140
Li 0.000 2.076 0.000
Li 0.000 0.000 11.974
Te 0.000 0.000 5.024
Te 0.000 0.000 9.091
H 0.000 0.000 0.000
```

- ρ: 3.875 g cm⁻³
- DOS at the Fermi energy: 3.5 states/eV/cell
- Raw total energy: -3.16 eV per atom
- Total magnetization: 0.0 μB/f.u.

(4)
A geometry-optimized SrTl2Pd4 structure, computed with PBE.

Structure (extended XYZ):
```
7
Lattice="-2.625 2.625 6.991 2.625 -2.625 6.991 2.625 2.625 -6.991" Properties=species:S:1:pos:R:3 pbc="T T T"
Sr 0.000 0.000 0.000
Tl 0.000 0.000 5.425
Tl 0.000 0.000 8.557
Pd 2.625 0.000 0.000
Pd 0.000 0.000 2.774
Pd 0.000 2.625 0.000
Pd 0.000 0.000 11.207
```

- ρ: 7.946 g cm⁻³
- Offset from the most stable computed form: 839 meV/atom
- DOS at the Fermi energy: 3.7 states/eV/cell
- Energy of formation from the pure elements: 499 meV/atom
- Total magnetization: 0.0 μB/f.u.

(5)
A geometry-optimized MgSnIr structure, computed with PBE.

Structure (extended XYZ):
```
3
Lattice="4.562 0.000 0.000 -2.281 3.951 0.000 0.000 0.000 3.137" Properties=species:S:1:pos:R:3 pbc="T T T"
Mg 0.000 0.000 0.000
Sn 2.281 1.317 1.568
Ir 0.000 2.634 1.568
```

- ρ: 9.844 g cm⁻³
- DOS at the Fermi energy: 1.2 states/eV/cell
- Energy of formation from the pure elements: -193 meV/atom
- Total magnetization: 0.0 μB/f.u.

(6)
A geometry-optimized BeNb2PdO structure, computed with PBE.

Structure (extended XYZ):
```
5
Lattice="4.506 0.000 0.000 0.000 4.506 0.000 0.000 0.000 3.272" Properties=species:S:1:pos:R:3 pbc="T T T"
Be 0.000 0.000 0.000
Nb 0.000 2.253 1.636
Nb 2.253 0.000 1.636
Pd 2.253 2.253 0.000
O 0.000 0.000 1.636
```

- ρ: 7.928 g cm⁻³
- DOS at the Fermi energy: 4.2 states/eV/cell
- Total magnetization: 0.0 μB/f.u.
- Raw formation energy: -596 meV per atom

(7)
A geometry-optimized Pm3Sm12Al structure, computed with PBE.

Structure (extended XYZ):
```
16
Lattice="5.042 0.000 0.000 0.000 5.042 0.000 0.000 0.000 20.496" Properties=species:S:1:pos:R:3 pbc="T T T"
Pm 0.000 0.000 0.000
Pm 0.000 0.000 5.221
Pm 0.000 0.000 15.275
Sm 0.000 2.521 2.625
Sm 0.000 2.521 7.871
Sm 0.000 2.521 12.625
Sm 0.000 2.521 17.871
Sm 2.521 0.000 2.625
Sm 2.521 0.000 7.871
Sm 2.521 0.000 12.625
Sm 2.521 0.000 17.871
Sm 2.521 2.521 0.000
Sm 2.521 2.521 5.279
Sm 2.521 2.521 10.248
Sm 2.521 2.521 15.218
Al 0.000 0.000 10.248
```

- ρ: 7.222 g cm⁻³
- DOS at the Fermi energy: 23.0 states/eV/cell
- Energy of formation from the pure elements: -14 meV/atom
- Total magnetization: 0.0 μB/f.u.

(8)
A geometry-optimized MnCdHg2 structure, computed with PBE.

Structure (extended XYZ):
```
4
Lattice="3.196 0.000 0.000 0.000 3.196 0.000 0.000 0.000 8.018" Properties=species:S:1:pos:R:3 pbc="T T T"
Mn 0.000 0.000 0.000
Cd 0.000 0.000 4.009
Hg 1.598 1.598 1.819
Hg 1.598 1.598 6.199
```

- ρ: 11.525 g cm⁻³
- DOS at the Fermi energy: 2.1 states/eV/cell
- Energy of formation from the pure elements: 204 meV/atom
- Total magnetization: 3.9 μB/f.u.

(9)
A geometry-optimized Er12MnBi6 structure, computed with PBE.

Structure (extended XYZ):
```
19
Lattice="6.536 3.773 4.033 -6.536 3.773 4.033 0.000 -7.547 4.033" Properties=species:S:1:pos:R:3 pbc="T T T"
Er -1.970 0.763 1.439
Er 0.325 -2.088 1.439
Er -1.345 -1.736 4.653
Er 1.646 1.325 1.439
Er -0.831 2.032 4.653
Er -2.176 0.296 7.446
Er 2.176 -0.296 4.653
Er 0.831 -2.032 7.446
Er -1.646 -1.325 10.661
Er 1.345 1.736 7.446
Er -0.325 2.088 10.661
Er 1.970 -0.763 10.661
Mn 0.000 0.000 0.000
Bi -3.521 0.461 4.400
Bi 1.361 -3.280 4.400
Bi -2.160 -2.819 7.699
Bi 2.160 2.819 4.400
Bi -1.361 3.280 7.699
Bi 3.521 -0.461 7.699
```

- ρ: 9.227 g cm⁻³
- DOS at the Fermi energy: 11.9 states/eV/cell
- Energy of formation from the pure elements: -352 meV/atom
- Total magnetization: 0.0 μB/f.u.

(10)
A geometry-optimized PrNdEuGd structure, computed with PBE.

Structure (extended XYZ):
```
4
Lattice="0.000 4.150 4.150 4.150 0.000 4.150 4.150 4.150 0.000" Properties=species:S:1:pos:R:3 pbc="T T T"
Pr 0.000 0.000 0.000
Nd 4.150 4.150 4.150
Eu 2.075 2.075 2.075
Gd 6.225 6.225 6.225
```

- ρ: 6.903 g cm⁻³
- DOS at the Fermi energy: 6.3 states/eV/cell
- Energy of formation from the pure elements: 112 meV/atom
- Total magnetization: 15.6 μB/f.u.

(11)
A geometry-optimized Nb7B2C2 structure, computed with PBE.

Structure (extended XYZ):
```
11
Lattice="-1.610 6.147 3.742 1.610 -6.147 3.742 1.610 6.147 -3.742" Properties=species:S:1:pos:R:3 pbc="T T T"
Nb 0.000 0.000 0.000
Nb 1.610 4.747 -0.721
Nb 1.610 2.238 0.836
Nb 0.000 1.400 3.021
Nb 0.000 4.438 1.745
Nb 0.000 7.856 1.745
Nb 0.000 3.909 4.578
B 1.610 0.000 1.795
B 0.000 0.000 5.028
C 1.610 -3.114 3.080
C 1.610 3.114 3.080
```

- ρ: 7.801 g cm⁻³
- DOS at the Fermi energy: 4.4 states/eV/cell
- Energy of formation from the pure elements: -261 meV/atom
- Total magnetization: 0.0 μB/f.u.

(12)
A geometry-optimized Zr2Cd3Au structure, computed with PBE.

Structure (extended XYZ):
```
6
Lattice="3.075 0.000 0.000 0.000 4.841 0.000 0.000 0.000 8.387" Properties=species:S:1:pos:R:3 pbc="T T T"
Zr 0.000 0.000 0.000
Zr 0.000 2.421 3.919
Cd 1.537 0.000 5.470
Cd 1.537 2.421 1.232
Cd 1.537 2.421 6.815
Au 1.537 0.000 2.686
```

- ρ: 9.532 g cm⁻³
- DOS at the Fermi energy: 4.4 states/eV/cell
- Energy of formation from the pure elements: -189 meV/atom
- Total magnetization: 0.0 μB/f.u.